Entry from the Open Quantum Materials Database: a geometry-optimized Tb3Co2Sn4 structure (PBE).

As for the crystal system: monoclinic. For the final energy, the calculation gives -5.436 eV per atom.

The structure belongs to space group C2/m (No. 12); the cell edges are 11.2419, 4.4542 and 8.5165 Å and the angles 90.00°, 106.05° and 90.00°. The asymmetric unit holds Tb at (0.0000, 0.0000, 0.0000), Tb at (0.1300, 0.5000, 0.6854), Co at (0.1989, 0.5000, 0.3878), Sn at (0.0907, 0.0000, 0.3903) and Sn at (0.2031, 0.5000, 0.0859).

Entry from the Open Quantum Materials Database: a geometry-optimized CoTcSn2 structure (PBE).

As for the crystal system: cubic. For the final energy, the calculation gives -5.753 eV per atom.

The structure belongs to space group F-43m (No. 216); the cell edges are 6.6195, 6.6195 and 6.6195 Å and the angles 90.00°, 90.00° and 90.00°. The asymmetric unit holds Co at (0.0000, 0.0000, 0.0000), Tc at (0.2500, 0.2500, 0.7500), Sn at (0.0000, 0.0000, 0.5000) and Sn at (0.2500, 0.2500, 0.2500).

Entry from the Open Quantum Materials Database: a geometry-optimized Co2TcSn structure (PBE).

As for the crystal system: cubic. For the final energy, the calculation gives -6.879 eV per atom.

The structure belongs to space group F-43m (No. 216); the cell edges are 6.0563, 6.0563 and 6.0563 Å and the angles 90.00°, 90.00° and 90.00°. The asymmetric unit holds Co at (0.0000, 0.0000, 0.0000), Co at (0.2500, 0.2500, 0.2500), Tc at (0.2500, 0.2500, 0.7500) and Sn at (0.0000, 0.0000, 0.5000).

Entry from the Open Quantum Materials Database: a geometry-optimized CoSnTe structure (PBE).

As for the crystal system: cubic. The calculation puts the energy above the most stable polymorph in this dataset at 0.0 meV/atom.

The structure belongs to space group F-43m (No. 216); the cell edges are 6.3445, 6.3445 and 6.3445 Å and the angles 90.00°, 90.00° and 90.00°. The asymmetric unit holds Co at (0.0000, 0.0000, 0.0000), Sn at (0.2500, 0.2500, 0.7500) and Te at (0.2500, 0.2500, 0.2500).

Entry from the Open Quantum Materials Database: a geometry-optimized Co2SnTe3 structure (PBE).

As for the crystal system: orthorhombic. For the final energy, the calculation gives -4.709 eV per atom.

The structure belongs to space group Cmcm (No. 63); the cell edges are 3.7640, 14.9738 and 10.0361 Å and the angles 90.00°, 90.00° and 90.00°. The asymmetric unit holds Co at (0.0000, 0.0000, 0.0000), Co at (0.0000, 0.3513, 0.2500), Sn at (0.0000, 0.2657, 0.7500), Te at (0.0000, 0.0342, 0.7500) and Te at (0.0000, 0.3828, 0.5012).

Entry from the Open Quantum Materials Database: a geometry-optimized Co2Sn3Te3 structure (PBE).

As for the crystal system: trigonal. For the final energy, the calculation gives -4.725 eV per atom.

The structure belongs to space group R-3 (No. 148, hexagonal axes); the cell edges are 12.9834, 12.9834 and 15.8683 Å and the angles 90.00°, 90.00° and 120.00°. The asymmetric unit holds Co at (0.0000, 0.0000, 0.2472), Co at (0.0007, 0.4988, 0.7543), Sn at (0.0045, 0.1633, 0.6610), Sn at (0.0512, 0.2690, 0.9483), Te at (0.0100, 0.8370, 0.8339) and Te at (0.0557, 0.4494, 0.1054).

Entry from the Open Quantum Materials Database: a geometry-optimized ZnCoSnTe3 structure (PBE).

As for the crystal system: orthorhombic. The calculation puts the energy above the most stable polymorph in this dataset at 0.0 meV/atom.

The structure belongs to space group Cmcm (No. 63); the cell edges are 4.0668, 13.9174 and 10.4437 Å and the angles 90.00°, 90.00° and 90.00°. The asymmetric unit holds Zn at (0.0000, 0.0380, 0.2500), Co at (0.0000, 0.5000, 0.0000), Sn at (0.0000, 0.2632, 0.7500), Te at (0.0000, 0.1283, 0.0323) and Te at (0.0000, 0.4173, 0.2500).

Entry from the Open Quantum Materials Database: a geometry-optimized ZnCoSnTe3 structure (PBE).

As for the crystal system: orthorhombic. The calculation puts the energy above the most stable polymorph in this dataset at 36.3 meV/atom.

The structure belongs to space group Cmcm (No. 63); the cell edges are 3.8727, 16.0072 and 9.6463 Å and the angles 90.00°, 90.00° and 90.00°. The asymmetric unit holds Zn at (0.0000, 0.0000, 0.0000), Co at (0.0000, 0.4703, 0.2500), Sn at (0.0000, 0.2471, 0.7500), Te at (0.0000, 0.0716, 0.2500) and Te at (0.0000, 0.3581, 0.0676).

Entry from the Open Quantum Materials Database: a geometry-optimized ThCo2Sn2 structure (PBE).

As for the crystal system: tetragonal. For the final energy, the calculation gives -6.258 eV per atom.

The structure belongs to space group P4/nmm (No. 129, origin choice 2); the cell edges are 4.4302, 4.4302 and 9.9909 Å and the angles 90.00°, 90.00° and 90.00°. The asymmetric unit holds Th at (0.2500, 0.2500, 0.2345), Co at (0.2500, 0.2500, 0.6273), Co at (0.2500, 0.7500, 0.0000), Sn at (0.2500, 0.2500, 0.8731) and Sn at (0.2500, 0.7500, 0.5000).

Entry from the Open Quantum Materials Database: a geometry-optimized TlCoSn structure (PBE).

As for the crystal system: cubic. The calculation puts the energy above the most stable polymorph in this dataset at 0.0 meV/atom.

The structure belongs to space group F-43m (No. 216); the cell edges are 6.3077, 6.3077 and 6.3077 Å and the angles 90.00°, 90.00° and 90.00°. The asymmetric unit holds Tl at (0.0000, 0.0000, 0.0000), Co at (0.2500, 0.2500, 0.7500) and Sn at (0.0000, 0.0000, 0.5000).

Entry from the Open Quantum Materials Database: a geometry-optimized TlCoSn structure (PBE).

As for the crystal system: tetragonal. The calculation puts the energy above the most stable polymorph in this dataset at 732.3 meV/atom.

The structure belongs to space group P4/mmm (No. 123); the cell edges are 4.3532, 4.3532 and 4.9485 Å and the angles 90.00°, 90.00° and 90.00°. The asymmetric unit holds Tl at (0.0000, 0.0000, 0.0000), Co at (0.5000, 0.5000, 0.5000) and Sn at (0.5000, 0.5000, 0.0000).

Entry from the Open Quantum Materials Database: a geometry-optimized Tl2CoSn structure (PBE).

As for the crystal system: cubic. For the final energy, the calculation gives -3.378 eV per atom.

The structure belongs to space group F-43m (No. 216); the cell edges are 7.2017, 7.2017 and 7.2017 Å and the angles 90.00°, 90.00° and 90.00°. The asymmetric unit holds Tl at (0.0000, 0.0000, 0.0000), Tl at (0.2500, 0.2500, 0.2500), Co at (0.2500, 0.2500, 0.7500) and Sn at (0.0000, 0.0000, 0.5000).

Entry from the Open Quantum Materials Database: a geometry-optimized TlCo3Sn5 structure (PBE).

As for the crystal system: hexagonal. For the final energy, the calculation gives -4.862 eV per atom.

The structure belongs to space group P6/mmm (No. 191); the cell edges are 5.2537, 5.2537 and 8.0182 Å and the angles 90.00°, 90.00° and 120.00°. The asymmetric unit holds Tl at (0.0000, 0.0000, 0.0000), Co at (0.0000, 0.5000, 0.5000), Sn at (0.0000, 0.0000, 0.5000) and Sn at (0.3333, 0.6667, 0.2308).

Entry from the Open Quantum Materials Database: a geometry-optimized Tm3Co2Sn3 structure (PBE).

As for the crystal system: orthorhombic. For the final energy, the calculation gives -5.500 eV per atom.

The structure belongs to space group Cmcm (No. 63); the cell edges are 4.4114, 10.6185 and 14.6573 Å and the angles 90.00°, 90.00° and 90.00°. The asymmetric unit holds Tm at (0.0000, 0.0704, 0.1112), Tm at (0.0000, 0.3505, 0.2500), Co at (0.0000, 0.2027, 0.6085), Sn at (0.0000, 0.3517, 0.7500) and Sn at (0.0000, 0.3616, 0.0362).

Entry from the Open Quantum Materials Database: a geometry-optimized Tm3Co2Sn4 structure (PBE).

As for the crystal system: monoclinic. For the final energy, the calculation gives -5.339 eV per atom.

The structure belongs to space group C2/m (No. 12); the cell edges are 11.0662, 4.4277 and 8.4167 Å and the angles 90.00°, 106.31° and 90.00°. The asymmetric unit holds Tm at (0.0000, 0.0000, 0.0000), Tm at (0.1319, 0.5000, 0.6836), Co at (0.1979, 0.5000, 0.3891), Sn at (0.0874, 0.0000, 0.3876) and Sn at (0.2013, 0.5000, 0.0852).

Entry from the Open Quantum Materials Database: a geometry-optimized TmCoSn structure (PBE).

As for the crystal system: orthorhombic. For the final energy, the calculation gives -5.685 eV per atom.

The structure belongs to space group Pnma (No. 62); the cell edges are 7.1169, 4.5259 and 7.3457 Å and the angles 90.00°, 90.00° and 90.00°. The asymmetric unit holds Tm at (0.0181, 0.2500, 0.2051), Co at (0.1596, 0.7500, 0.4386) and Sn at (0.2073, 0.2500, 0.6046).

Entry from the Open Quantum Materials Database: a geometry-optimized Tm2CoSn6 structure (PBE).

As for the crystal system: orthorhombic. For the final energy, the calculation gives -4.836 eV per atom.

The structure belongs to space group Cmmm (No. 65); the cell edges are 4.3212, 22.6084 and 4.4214 Å and the angles 90.00°, 90.00° and 90.00°. The asymmetric unit holds Tm at (0.0000, 0.1790, 0.0000), Co at (0.0000, 0.5000, 0.5000), Sn at (0.0000, 0.0697, 0.5000), Sn at (0.0000, 0.2956, 0.5000) and Sn at (0.0000, 0.4313, 0.0000).

Entry from the Open Quantum Materials Database: a geometry-optimized TmCoSn structure (PBE).

As for the crystal system: orthorhombic. For the final energy, the calculation gives -5.686 eV per atom.

The structure belongs to space group Pnma (No. 62); the cell edges are 6.8544, 4.3688 and 7.7644 Å and the angles 90.00°, 90.00° and 90.00°. The asymmetric unit holds Tm at (0.0195, 0.2500, 0.1889), Co at (0.2278, 0.7500, 0.3954) and Sn at (0.1704, 0.2500, 0.5732).

Entry from the Open Quantum Materials Database: a geometry-optimized U2Co2Sn structure (PBE).

As for the crystal system: tetragonal. For the final energy, the calculation gives -8.362 eV per atom.

The structure belongs to space group P4/mbm (No. 127); the cell edges are 7.3210, 7.3210 and 3.3897 Å and the angles 90.00°, 90.00° and 90.00°. The asymmetric unit holds U at (0.1654, 0.3346, 0.0000), Co at (0.1356, 0.6356, 0.5000) and Sn at (0.0000, 0.0000, 0.5000).

Entry from the Open Quantum Materials Database: a geometry-optimized UCoSn structure (PBE).

As for the crystal system: hexagonal. For the final energy, the calculation gives -7.623 eV per atom.

The structure belongs to space group P-62m (No. 189); the cell edges are 7.0558, 7.0558 and 4.0280 Å and the angles 90.00°, 90.00° and 120.00°. The asymmetric unit holds U at (0.0000, 0.5830, 0.0000), Co at (0.0000, 0.0000, 0.0000), Co at (0.3333, 0.6667, 0.5000) and Sn at (0.0000, 0.2516, 0.5000).

Entry from the Open Quantum Materials Database: a geometry-optimized UCoSn structure (PBE).

As for the crystal system: hexagonal. For the final energy, the calculation gives -7.412 eV per atom.

The structure belongs to space group P-62m (No. 189); the cell edges are 6.5020, 6.5020 and 4.8118 Å and the angles 90.00°, 90.00° and 120.00°. The asymmetric unit holds U at (0.0000, 0.5050, 0.0000), Co at (0.0000, 0.2187, 0.5000), Sn at (0.0000, 0.0000, 0.0000) and Sn at (0.3333, 0.6667, 0.5000).

Entry from the Open Quantum Materials Database: a geometry-optimized CoSnW structure (PBE).

As for the crystal system: cubic. The calculation puts the energy above the most stable polymorph in this dataset at 0.0 meV/atom.

The structure belongs to space group F-43m (No. 216); the cell edges are 5.8897, 5.8897 and 5.8897 Å and the angles 90.00°, 90.00° and 90.00°. The asymmetric unit holds Co at (0.0000, 0.0000, 0.0000), Sn at (0.2500, 0.2500, 0.7500) and W at (0.2500, 0.2500, 0.2500).

Entry from the Open Quantum Materials Database: a geometry-optimized Co2SnW structure (PBE).

As for the crystal system: cubic. For the final energy, the calculation gives -7.344 eV per atom.

The structure belongs to space group F-43m (No. 216); the cell edges are 6.1150, 6.1150 and 6.1150 Å and the angles 90.00°, 90.00° and 90.00°. The asymmetric unit holds Co at (0.0000, 0.0000, 0.0000), Co at (0.2500, 0.2500, 0.2500), Sn at (0.0000, 0.0000, 0.5000) and W at (0.2500, 0.2500, 0.7500).

| no. | calculated density (Mg/m³) | V (Å³ per cell) |
| --- | --- | --- |
| 1 | 8.67 | 409.8 |
| 2 | 9.03 | 290.0 |
| 3 | 10.00 | 222.1 |
| 4 | 7.94 | 255.4 |
| 5 | 7.27 | 565.7 |
| 6 | 7.37 | 2316.5 |
| 7 | 7.03 | 591.1 |
| 8 | 6.95 | 598.0 |
| 9 | 9.95 | 196.1 |
| 10 | 10.11 | 251.0 |
| 11 | 6.76 | 93.8 |
| 12 | 10.43 | 373.5 |
| 13 | 8.44 | 191.7 |
| 14 | 9.49 | 686.6 |
| 15 | 9.23 | 395.8 |
| 16 | 9.73 | 236.6 |
| 17 | 8.53 | 432.0 |
| 18 | 9.90 | 232.5 |
| 19 | 13.03 | 181.7 |
| 20 | 11.92 | 173.7 |
| 21 | 11.75 | 176.2 |
| 22 | 11.75 | 204.3 |
| 23 | 12.21 | 228.7 |